Below is a geometry-optimized KHgBr2 structure, with properties calculated at the PBE level.

Its size of the total moment is 0.00 μB per cell. The value obtained for the formation energy (no corrections) is -0.878 eV/atom. The total energy is -2.065 eV/atom. Its energy above the most stable polymorph in this dataset is 0.088 eV per atom.

Cell lengths 8.283, 8.129, 4.231 Å; angles 90.00, 111.14, 90.00 degrees
Element x y z (fractional)
K 0.000 0.000 0.000
K 0.500 0.500 0.000
Hg 0.000 0.500 0.000
Hg 0.500 0.000 0.000
Br 0.250 0.250 0.500
Br 0.250 0.750 0.500
Br 0.750 0.250 0.500
Br 0.750 0.750 0.500